VASP calculation (PBE-GGA) on an optimized crystal structure of Tc4Pt5.

Properties
**Symmetry**: P6_3/mcm, No. 193
**Formation energy from the elements**: 0.109 eV/atom
**Offset from the most stable computed form**: 311 meV per atom

CIF file:
```
data_Tc4Pt5
_chemical_formula_sum 'Tc8 Pt10'
_cell_length_a 7.6719
_cell_length_b 7.6719
_cell_length_c 5.4495
_cell_angle_alpha 90.00
_cell_angle_beta 90.00
_cell_angle_gamma 60.00
_space_group_name_H-M_alt 'P 1'
_space_group_IT_number 1
_space_group_name_Hall 'P 1'
loop_
_atom_site_label
_atom_site_type_symbol
_atom_site_fract_x
_atom_site_fract_y
_atom_site_fract_z
Pt1 Pt 0.6667 0.6667 0.5000
Pt2 Pt 0.6717 0.3283 0.7500
Pt3 Pt 0.3333 0.3333 0.5000
Pt4 Pt 0.3333 0.3333 0.0000
Pt5 Pt 0.6717 0.0000 0.2500
Pt6 Pt 0.0000 0.3283 0.2500
Pt7 Pt 0.0000 0.6717 0.7500
Pt8 Pt 0.6667 0.6667 0.0000
Pt9 Pt 0.3283 0.6717 0.2500
Pt10 Pt 0.3283 0.0000 0.7500
Tc1 Tc 0.0000 0.3309 0.7500
Tc2 Tc 0.0000 0.0000 0.5000
Tc3 Tc 0.0000 0.0000 0.0000
Tc4 Tc 0.3309 0.6691 0.7500
Tc5 Tc 0.3309 0.0000 0.2500
Tc6 Tc 0.0000 0.6691 0.2500
Tc7 Tc 0.6691 0.0000 0.7500
Tc8 Tc 0.6691 0.3309 0.2500
```

VASP calculation (PBE-GGA) on an optimized crystal structure of LaRe2F.

Properties
**E_form (uncorrected)**: 1.260 eV per atom
**Symmetry**: Fm-3m, No. 225
**Offset from the most stable computed form**: 1879 meV per atom

CIF file:
```
data_LaRe2F
_chemical_formula_sum 'La1 Re2 F1'
_cell_length_a 4.6422
_cell_length_b 4.6422
_cell_length_c 4.6422
_cell_angle_alpha 60.00
_cell_angle_beta 60.00
_cell_angle_gamma 60.00
_space_group_name_H-M_alt 'P 1'
_space_group_IT_number 1
_space_group_name_Hall 'P 1'
loop_
_atom_site_label
_atom_site_type_symbol
_atom_site_fract_x
_atom_site_fract_y
_atom_site_fract_z
Re1 Re 0.7500 0.7500 0.7500
Re2 Re 0.2500 0.2500 0.2500
La1 La 0.5000 0.5000 0.5000
F1 F 0.0000 0.0000 0.0000
```

VASP calculation (PBE-GGA) on an optimized crystal structure of Ac5In2Sn.

Properties
**Symmetry**: I4/mcm, No. 140
**Formation energy from the elements**: -0.425 eV/atom

CIF file:
```
data_Ac5In2Sn
_chemical_formula_sum 'Ac10 In4 Sn2'
_cell_length_a 8.9036
_cell_length_b 8.9036
_cell_length_c 9.8751
_cell_angle_alpha 116.80
_cell_angle_beta 116.80
_cell_angle_gamma 90.00
_space_group_name_H-M_alt 'P 1'
_space_group_IT_number 1
_space_group_name_Hall 'P 1'
loop_
_atom_site_label
_atom_site_type_symbol
_atom_site_fract_x
_atom_site_fract_y
_atom_site_fract_z
In1 In 0.3748 0.8748 0.0000
In2 In 0.8748 0.6252 0.0000
In3 In 0.1252 0.3748 0.0000
In4 In 0.6252 0.1252 0.0000
Ac1 Ac 0.0179 0.5179 0.6998
Ac2 Ac 0.4821 0.3180 0.3002
Ac3 Ac 0.1820 0.0179 0.6998
Ac4 Ac 0.5000 0.5000 0.0000
Ac5 Ac 0.9821 0.4821 0.3002
Ac6 Ac 0.3180 0.8180 0.3002
Ac7 Ac 0.8180 0.9821 0.3002
Ac8 Ac 0.5179 0.6820 0.6998
Ac9 Ac 0.6820 0.1820 0.6998
Ac10 Ac 0.0000 0.0000 0.0000
Sn1 Sn 0.2500 0.2500 0.5000
Sn2 Sn 0.7500 0.7500 0.5000
```

VASP calculation (PBE-GGA) on an optimized crystal structure of ErTlO.

Properties
**E_form (uncorrected)**: -1.817 eV per atom
**Symmetry**: C2/m, No. 12
**Offset from the most stable computed form**: 0 meV per atom

CIF file:
```
data_ErTlO
_chemical_formula_sum 'Er2 Tl2 O2'
_cell_length_a 3.6763
_cell_length_b 5.2718
_cell_length_c 9.8115
_cell_angle_alpha 122.73
_cell_angle_beta 90.00
_cell_angle_gamma 110.41
_space_group_name_H-M_alt 'P 1'
_space_group_IT_number 1
_space_group_name_Hall 'P 1'
loop_
_atom_site_label
_atom_site_type_symbol
_atom_site_fract_x
_atom_site_fract_y
_atom_site_fract_z
Tl1 Tl 0.6922 0.3844 0.5895
Tl2 Tl 0.3078 0.6156 0.4105
Er1 Er 0.8805 0.7611 0.1655
Er2 Er 0.1195 0.2389 0.8345
O1 O 0.6274 0.2547 0.9475
O2 O 0.3726 0.7453 0.0525
```